(1)
# PmIn2Ni (PBE-GGA, optimized geometry)
# ΔH_f (0 K), kJ/mol of formula units: -167.8
data_PmIn2Ni
_chemical_formula_sum 'Pm4 In8 Ni4'
_cell_length_a 4.4051
_cell_length_b 10.6980
_cell_length_c 7.4426
_cell_angle_alpha 90.00
_cell_angle_beta 90.00
_cell_angle_gamma 90.00
_symmetry_space_group_name_H-M 'C m c m'
_symmetry_Int_Tables_number 63
_symmetry_space_group_name_Hall '-C 2c 2'
loop_
_atom_site_label
_atom_site_fract_x
_atom_site_fract_y
_atom_site_fract_z
Pm1 0.0000 0.0667 0.2500
In1 0.0000 0.3541 0.0502
Ni1 0.0000 0.2134 0.7500



(2)
# PmIn3Ni (PBE-GGA, optimized geometry)
# ΔH_f (0 K), kJ/mol of formula units: -181.2
data_PmIn3Ni
_chemical_formula_sum 'Pm4 In12 Ni4'
_cell_length_a 8.9311
_cell_length_b 4.3924
_cell_length_c 11.5487
_cell_angle_alpha 90.00
_cell_angle_beta 90.00
_cell_angle_gamma 90.00
_symmetry_space_group_name_H-M 'P n m a'
_symmetry_Int_Tables_number 62
_symmetry_space_group_name_Hall '-P 2ac 2n'
loop_
_atom_site_label
_atom_site_fract_x
_atom_site_fract_y
_atom_site_fract_z
Pm1 0.1886 0.2500 0.0065
In1 0.0606 0.2500 0.5817
In2 0.1164 0.7500 0.7986
In3 0.1386 0.7500 0.2140
Ni1 0.1009 0.2500 0.3545



(3)
# Pm2InNi (PBE-GGA, optimized geometry)
# ΔH_f (0 K), kJ/mol of formula units: -140.1
data_Pm2InNi
_chemical_formula_sum 'Pm2 In1 Ni1'
_cell_length_a 3.5569
_cell_length_b 3.5569
_cell_length_c 7.8168
_cell_angle_alpha 90.00
_cell_angle_beta 90.00
_cell_angle_gamma 90.00
_symmetry_space_group_name_H-M 'P 4/m m m'
_symmetry_Int_Tables_number 123
_symmetry_space_group_name_Hall '-P 4 2'
loop_
_atom_site_label
_atom_site_fract_x
_atom_site_fract_y
_atom_site_fract_z
Pm1 0.0000 0.0000 0.2147
In1 0.5000 0.5000 0.5000
Ni1 0.5000 0.5000 0.0000



(4)
# Pm3InNi (PBE-GGA, optimized geometry)
# ΔH_f (0 K), kJ/mol of formula units: -139.4
data_Pm3InNi
_chemical_formula_sum 'Pm12 In4 Ni4'
_cell_length_a 11.8437
_cell_length_b 5.2409
_cell_length_c 10.0504
_cell_angle_alpha 90.00
_cell_angle_beta 116.91
_cell_angle_gamma 90.00
_symmetry_space_group_name_H-M 'C 1 2/m 1'
_symmetry_Int_Tables_number 12
_symmetry_space_group_name_Hall '-C 2y'
loop_
_atom_site_label
_atom_site_fract_x
_atom_site_fract_y
_atom_site_fract_z
Pm1 0.1244 0.0000 0.4355
Pm2 0.1277 0.5000 0.7733
Pm3 0.1416 0.5000 0.1697
In1 0.0822 0.0000 0.9262
Ni1 0.1044 0.5000 0.4796



(5)
# Pm3In6Ni5 (PBE-GGA, optimized geometry)
# ΔH_f (0 K), kJ/mol of formula units: -476.3
data_Pm3In6Ni5
_chemical_formula_sum 'Pm6 In12 Ni10'
_cell_length_a 4.4138
_cell_length_b 13.4316
_cell_length_c 9.5264
_cell_angle_alpha 90.00
_cell_angle_beta 90.00
_cell_angle_gamma 90.00
_symmetry_space_group_name_H-M 'P m m n'
_symmetry_Int_Tables_number 59
loop_
_symmetry_equiv_pos_as_xyz
'x,y,z'
'-x,-y,-z'
'-x+1/2,-y+1/2,z'
'x+1/2,y+1/2,-z'
'x+1/2,-y,-z'
'-x+1/2,y,z'
'-x,y+1/2,-z'
'x,-y+1/2,z'
loop_
_atom_site_label
_atom_site_fract_x
_atom_site_fract_y
_atom_site_fract_z
Pm1 0.2500 0.0487 0.2452
Pm2 0.2500 0.7500 0.2787
In1 0.2500 0.0711 0.5866
In2 0.2500 0.2500 0.0317
In3 0.2500 0.2500 0.4025
In4 0.2500 0.5978 0.9840
Ni1 0.2500 0.0910 0.8600
Ni2 0.2500 0.6388 0.5555
Ni3 0.2500 0.7500 0.7776



(6)
# Pm3InNi2 (PBE-GGA, optimized geometry)
# ΔH_f (0 K), kJ/mol of formula units: -110.3
data_Pm3InNi2
_chemical_formula_sum 'Pm18 In6 Ni12'
_cell_length_a 8.4128
_cell_length_b 8.4128
_cell_length_c 15.1427
_cell_angle_alpha 90.00
_cell_angle_beta 90.00
_cell_angle_gamma 120.00
_symmetry_space_group_name_H-M 'R -3 c'
_symmetry_Int_Tables_number 167
_symmetry_space_group_name_Hall '-R 3 2"c'
loop_
_atom_site_label
_atom_site_fract_x
_atom_site_fract_y
_atom_site_fract_z
Pm1 0.0000 0.3052 0.2500
In1 0.0000 0.0000 0.0000
Ni1 0.0000 0.0000 0.1700



- ΔH_f (0 K) of number 2 (PmIn3Ni)?
  -181.2 kJ/mol of formula units



Please write out number 5 again, unchanged.
# Pm3In6Ni5 (PBE-GGA, optimized geometry)
# ΔH_f (0 K), kJ/mol of formula units: -476.3
data_Pm3In6Ni5
_chemical_formula_sum 'Pm6 In12 Ni10'
_cell_length_a 4.4138
_cell_length_b 13.4316
_cell_length_c 9.5264
_cell_angle_alpha 90.00
_cell_angle_beta 90.00
_cell_angle_gamma 90.00
_symmetry_space_group_name_H-M 'P m m n'
_symmetry_Int_Tables_number 59
loop_
_symmetry_equiv_pos_as_xyz
'x,y,z'
'-x,-y,-z'
'-x+1/2,-y+1/2,z'
'x+1/2,y+1/2,-z'
'x+1/2,-y,-z'
'-x+1/2,y,z'
'-x,y+1/2,-z'
'x,-y+1/2,z'
loop_
_atom_site_label
_atom_site_fract_x
_atom_site_fract_y
_atom_site_fract_z
Pm1 0.2500 0.0487 0.2452
Pm2 0.2500 0.7500 0.2787
In1 0.2500 0.0711 0.5866
In2 0.2500 0.2500 0.0317
In3 0.2500 0.2500 0.4025
In4 0.2500 0.5978 0.9840
Ni1 0.2500 0.0910 0.8600
Ni2 0.2500 0.6388 0.5555
Ni3 0.2500 0.7500 0.7776



Please write out number 3 again, unchanged.
# Pm2InNi (PBE-GGA, optimized geometry)
# ΔH_f (0 K), kJ/mol of formula units: -140.1
data_Pm2InNi
_chemical_formula_sum 'Pm2 In1 Ni1'
_cell_length_a 3.5569
_cell_length_b 3.5569
_cell_length_c 7.8168
_cell_angle_alpha 90.00
_cell_angle_beta 90.00
_cell_angle_gamma 90.00
_symmetry_space_group_name_H-M 'P 4/m m m'
_symmetry_Int_Tables_number 123
_symmetry_space_group_name_Hall '-P 4 2'
loop_
_atom_site_label
_atom_site_fract_x
_atom_site_fract_y
_atom_site_fract_z
Pm1 0.0000 0.0000 0.2147
In1 0.5000 0.5000 0.5000
Ni1 0.5000 0.5000 0.0000